[1]
This record from Alexandria describes a relaxed Ba3PuBi2O9 crystal. The functional is GGA-PBE.

As for the uncorrected formation energy: -216.3 kJ per mole of atoms. As for the density: 7.544 g cm⁻³.

It has space group P-3m1 (No. 164), with a = 6.3363 Å, b = 6.3363 Å, c = 7.7099 Å, α = 90.00°, β = 90.00° and γ = 120.00°. Symmetry generates all atoms from Ba at (0.0000, 0.0000, 0.0000), Ba at (0.3333, 0.6667, 0.6832), Pu at (0.0000, 0.0000, 0.5000), Bi at (0.3333, 0.6667, 0.1675), O at (0.0000, 0.5000, 0.0000) and O at (0.1534, 0.3067, 0.3424).

***

[2]
This record from Alexandria describes a relaxed CoPtSe2N crystal. The functional is GGA-PBE.

As for the uncorrected formation energy: 46.5 kJ per mole of atoms. As for the distance to the lowest polymorph of the same formula: 0 meV per atom. As for the density: 8.956 g cm⁻³.

It has space group P4/mmm (No. 123), with a = 4.882 Å, b = 4.882 Å, c = 3.314 Å, α = 90.00°, β = 90.00° and γ = 90.00°. Symmetry generates all atoms from Co at (0.000, 0.000, 0.000), Pt at (0.500, 0.500, 0.500), Se at (0.000, 0.500, 0.000) and N at (0.000, 0.000, 0.500).

***

[3]
This record from Alexandria describes a relaxed Tb2Er3Sc crystal. The functional is GGA-PBE.

The formation energy is 0.144 eV per atom. As for the distance to the lowest polymorph of the same formula: 108 meV per atom. As for the density: 7.830 g cm⁻³.

It has space group C2/m (No. 12), with a = 17.380 Å, b = 3.420 Å, c = 13.902 Å, α = 90.00°, β = 117.43° and γ = 90.00°. Symmetry generates all atoms from Tb at (0.155, 0.000, 0.470), Tb at (0.179, 0.500, 0.879), Er at (0.038, 0.500, 0.216), Er at (0.099, 0.000, 0.026), Er at (0.240, 0.000, 0.293) and Sc at (0.063, 0.000, 0.641).

***

[4]
This record from Alexandria describes a relaxed TlTcNi2N crystal. The functional is GGA-PBE.

As for the uncorrected formation energy: 15.4 kJ per mole of atoms. As for the density: 11.187 g cm⁻³.

It has space group P4/mmm (No. 123), with a = 4.012 Å, b = 4.012 Å, c = 4.001 Å, α = 90.00°, β = 90.00° and γ = 90.00°. Symmetry generates all atoms from Tl at (0.000, 0.000, 0.000), Tc at (0.500, 0.500, 0.000), Ni at (0.000, 0.500, 0.500) and N at (0.500, 0.500, 0.500).

***

[5]
This record from Alexandria describes a relaxed FePb2Br crystal. The functional is GGA-PBE.

As for the uncorrected formation energy: 8.7 kJ per mole of atoms. As for the distance to the lowest polymorph of the same formula: 0 meV per atom. As for the density: 8.754 g cm⁻³.

It has space group R3m (No. 160, hexagonal axes), with a = 3.5020 Å, b = 3.5020 Å, c = 29.4768 Å, α = 90.00°, β = 90.00° and γ = 120.00°. Symmetry generates all atoms from Fe at (0.0000, 0.0000, 0.0000), Pb at (0.0000, 0.0000, 0.2640), Pb at (0.0000, 0.0000, 0.4971) and Br at (0.0000, 0.0000, 0.7176).

***

[6]
This record from Alexandria describes a relaxed Tb3DyPu2S6 crystal. The functional is GGA-PBE.

As for the uncorrected formation energy: -188.3 kJ per mole of atoms. As for the density: 8.493 g cm⁻³.

It has space group C2/m (No. 12), with a = 6.797 Å, b = 11.778 Å, c = 6.831 Å, α = 90.00°, β = 109.34° and γ = 90.00°. Symmetry generates all atoms from Tb at (0.000, 0.000, 0.000), Tb at (0.000, 0.333, 0.000), Dy at (0.000, 0.500, 0.500), Pu at (0.000, 0.167, 0.500), S at (0.248, 0.500, 0.248) and S at (0.249, 0.334, 0.750).

***

[7]
This record from Alexandria describes a relaxed HfMn3Pt crystal. The functional is GGA-PBE.

The formation energy is 0.847 eV per atom. As for the distance to the lowest polymorph of the same formula: 0 meV per atom. As for the density: 8.347 g cm⁻³.

It has space group Pm-3m (No. 221), with a = 4.749 Å, b = 4.749 Å, c = 4.749 Å, α = 90.00°, β = 90.00° and γ = 90.00°. Symmetry generates all atoms from Hf at (0.000, 0.000, 0.000), Mn at (0.000, 0.500, 0.500) and Pt at (0.500, 0.500, 0.500).

***

[8]
This record from Alexandria describes a relaxed TaTi2Tc2 crystal. The functional is GGA-PBE.

The formation energy is -0.039 eV per atom. As for the distance to the lowest polymorph of the same formula: 397 meV per atom. As for the density: 9.545 g cm⁻³.

It has space group P4/mbm (No. 127), with a = 7.184 Å, b = 7.184 Å, c = 3.186 Å, α = 90.00°, β = 90.00° and γ = 90.00°. Symmetry generates all atoms from Ta at (0.000, 0.000, 0.000), Ti at (0.154, 0.346, 0.500) and Tc at (0.151, 0.651, 0.000).

***

[9]
This record from Alexandria describes a relaxed ZrSb2Rh crystal. The functional is GGA-PBE.

As for the uncorrected formation energy: -20.4 kJ per mole of atoms. As for the density: 7.717 g cm⁻³.

It has space group R3m (No. 160, hexagonal axes), with a = 3.2717 Å, b = 3.2717 Å, c = 30.4794 Å, α = 90.00°, β = 90.00° and γ = 120.00°. Symmetry generates all atoms from Zr at (0.0000, 0.0000, 0.0000), Sb at (0.0000, 0.0000, 0.5332), Sb at (0.0000, 0.0000, 0.7474) and Rh at (0.0000, 0.0000, 0.2645).

***

[10]
This record from Alexandria describes a relaxed Ca2Ga2C crystal. The functional is GGA-PBE.

The formation energy is 1.217 eV per atom. As for the distance to the lowest polymorph of the same formula: 742 meV per atom. As for the density: 2.862 g cm⁻³.

It has space group I4/mmm (No. 139), with a = 4.828 Å, b = 4.828 Å, c = 11.529 Å, α = 90.00°, β = 90.00° and γ = 90.00°. Symmetry generates all atoms from Ca at (0.000, 0.500, 0.250), Ga at (0.000, 0.000, 0.099) and C at (0.000, 0.000, 0.500).

***

[11]
This record from Alexandria describes a relaxed Sr2ZnGe4Ir3 crystal. The functional is GGA-PBE.

The formation energy is -0.498 eV per atom. As for the density: 9.353 g cm⁻³.

It has space group P-4m2 (No. 115), with a = 4.356 Å, b = 4.356 Å, c = 10.368 Å, α = 90.00°, β = 90.00° and γ = 90.00°. Symmetry generates all atoms from Sr at (0.000, 0.500, 0.246), Zn at (0.000, 0.000, 0.500), Ge at (0.000, 0.000, 0.000), Ge at (0.000, 0.500, 0.635), Ge at (0.500, 0.500, 0.000), Ir at (0.000, 0.500, 0.878) and Ir at (0.500, 0.500, 0.500).

***

[12]
This record from Alexandria describes a relaxed YHo2Ag3Se6 crystal. The functional is GGA-PBE.

As for the uncorrected formation energy: -112.5 kJ per mole of atoms. As for the density: 6.915 g cm⁻³.

It has space group C2/m (No. 12), with a = 17.697 Å, b = 4.163 Å, c = 8.065 Å, α = 90.00°, β = 100.60° and γ = 90.00°. Symmetry generates all atoms from Y at (0.000, 0.000, 0.000), Ho at (0.167, 0.500, 0.334), Ag at (0.000, 0.000, 0.500), Ag at (0.166, 0.500, 0.834), Se at (0.002, 0.500, 0.249), Se at (0.166, 0.000, 0.087) and Se at (0.168, 0.000, 0.580).

***

[13]
This record from Alexandria describes a relaxed Pu2Tl3CuSe6 crystal. The functional is GGA-PBE.

As for the uncorrected formation energy: -74.4 kJ per mole of atoms. As for the density: 8.104 g cm⁻³.

It has space group C2/m (No. 12), with a = 7.041 Å, b = 12.316 Å, c = 8.092 Å, α = 90.00°, β = 106.90° and γ = 90.00°. Symmetry generates all atoms from Pu at (0.000, 0.166, 0.000), Tl at (0.000, 0.000, 0.500), Tl at (0.000, 0.331, 0.500), Cu at (0.000, 0.500, 0.000), Se at (0.230, 0.336, 0.199) and Se at (0.244, 0.000, 0.196).

***

[14]
This record from Alexandria describes a relaxed TlOs2 crystal. The functional is GGA-PBE.

The formation energy is 1.097 eV per atom. As for the distance to the lowest polymorph of the same formula: 525 meV per atom. As for the density: 17.980 g cm⁻³.

It has space group Fd-3m (No. 227, origin choice 2), with a = 7.560 Å, b = 7.560 Å, c = 7.560 Å, α = 90.00°, β = 90.00° and γ = 90.00°. Symmetry generates all atoms from Tl at (0.125, 0.125, 0.125) and Os at (0.000, 0.000, 0.500).

***

[15]
This record from Alexandria describes a relaxed Tm4SiGe crystal. The functional is GGA-PBE.

As for the uncorrected formation energy: -36.0 kJ per mole of atoms. As for the density: 7.834 g cm⁻³.

It has space group P2_1/m (No. 11), with a = 5.575 Å, b = 8.603 Å, c = 7.002 Å, α = 90.00°, β = 101.44° and γ = 90.00°. Symmetry generates all atoms from Tm at (0.003, 0.055, 0.246), Tm at (0.425, 0.750, 0.487), Tm at (0.433, 0.250, 0.987), Si at (0.089, 0.750, 0.093) and Ge at (0.098, 0.250, 0.593).

***

[16]
This record from Alexandria describes a relaxed Ba2TbTmS4 crystal. The functional is GGA-PBE.

As for the uncorrected formation energy: -192.8 kJ per mole of atoms. As for the density: 5.845 g cm⁻³.

It has space group P2/m (No. 10), with a = 7.091 Å, b = 4.105 Å, c = 7.518 Å, α = 90.00°, β = 108.41° and γ = 90.00°. Symmetry generates all atoms from Ba at (0.000, 0.000, 0.000), Ba at (0.500, 0.500, 0.000), Tb at (0.000, 0.500, 0.500), Tm at (0.500, 0.000, 0.500), S at (0.240, 0.000, 0.708) and S at (0.269, 0.500, 0.294).

***

[17]
This record from Alexandria describes a relaxed HfCo2Pt crystal. The functional is GGA-PBE.

The formation energy is -0.334 eV per atom. As for the density: 14.364 g cm⁻³.

It has space group Fm-3m (No. 225), with a = 6.102 Å, b = 6.102 Å, c = 6.102 Å, α = 90.00°, β = 90.00° and γ = 90.00°. Symmetry generates all atoms from Hf at (0.000, 0.000, 0.000), Co at (0.250, 0.250, 0.250) and Pt at (0.000, 0.000, 0.500).

***

[18]
This record from Alexandria describes a relaxed YEr3Ni2 crystal. The functional is GGA-PBE.

The formation energy is -0.307 eV per atom. As for the distance to the lowest polymorph of the same formula: 0 meV per atom. As for the density: 8.087 g cm⁻³.

It has space group C2/m (No. 12), with a = 15.915 Å, b = 3.874 Å, c = 11.289 Å, α = 90.00°, β = 123.33° and γ = 90.00°. Symmetry generates all atoms from Y at (0.152, 0.000, 0.244), Er at (0.082, 0.500, 0.442), Er at (0.083, 0.500, 0.940), Er at (0.154, 0.000, 0.746), Ni at (0.231, 0.000, 0.550) and Ni at (0.232, 0.000, 0.050).

***

[19]
This record from Alexandria describes a relaxed Tb5Pm3Nd4 crystal. The functional is GGA-PBE.

The formation energy is 0.212 eV per atom. As for the distance to the lowest polymorph of the same formula: 199 meV per atom. As for the density: 7.275 g cm⁻³.

It has space group C2/m (No. 12), with a = 16.237 Å, b = 6.006 Å, c = 9.418 Å, α = 90.00°, β = 116.12° and γ = 90.00°. Symmetry generates all atoms from Tb at (0.000, 0.000, 0.000), Tb at (0.072, 0.500, 0.698), Tb at (0.172, 0.500, 0.388), Pm at (0.000, 0.500, 0.000), Pm at (0.209, 0.000, 0.231), Nd at (0.084, 0.000, 0.444) and Nd at (0.211, 0.000, 0.880).

***

[20]
This record from Alexandria describes a relaxed Ac2ErIn4 crystal. The functional is GGA-PBE.

The formation energy is -0.282 eV per atom. As for the density: 7.747 g cm⁻³.

It has space group I4/mmm (No. 139), with a = 5.517 Å, b = 5.517 Å, c = 15.216 Å, α = 90.00°, β = 90.00° and γ = 90.00°. Symmetry generates all atoms from Ac at (0.000, 0.000, 0.247), Er at (0.000, 0.000, 0.500) and In at (0.000, 0.500, 0.102).

***

[21]
This record from Alexandria describes a relaxed Cu5Ni crystal. The functional is GGA-PBE.

The formation energy is 0.305 eV per atom. As for the distance to the lowest polymorph of the same formula: 307 meV per atom. As for the density: 7.962 g cm⁻³.

It has space group P6/mmm (No. 191), with a = 4.6828 Å, b = 4.6828 Å, c = 4.1339 Å, α = 90.00°, β = 90.00° and γ = 120.00°. Symmetry generates all atoms from Cu at (0.0000, 0.5000, 0.0000), Cu at (0.3333, 0.6667, 0.5000) and Ni at (0.0000, 0.0000, 0.5000).

***

[22]
This record from Alexandria describes a relaxed SrCe2ReN5 crystal. The functional is GGA-PBE.

As for the uncorrected formation energy: -97.9 kJ per mole of atoms. As for the density: 7.737 g cm⁻³.

It has space group I4/mcm (No. 140), with a = 6.811 Å, b = 6.811 Å, c = 11.550 Å, α = 90.00°, β = 90.00° and γ = 90.00°. Symmetry generates all atoms from Sr at (0.000, 0.000, 0.250), Ce at (0.180, 0.320, 0.000), Re at (0.000, 0.500, 0.250), N at (0.000, 0.000, 0.000) and N at (0.145, 0.355, 0.356).

***

[23]
This record from Alexandria describes a relaxed LaTbLuHg crystal. The functional is GGA-PBE.

The formation energy is -0.090 eV per atom. As for the density: 9.538 g cm⁻³.

It has space group F-43m (No. 216), with a = 7.769 Å, b = 7.769 Å, c = 7.769 Å, α = 90.00°, β = 90.00° and γ = 90.00°. Symmetry generates all atoms from La at (0.000, 0.000, 0.000), Tb at (0.000, 0.000, 0.500), Lu at (0.250, 0.250, 0.750) and Hg at (0.250, 0.250, 0.250).

***

[24]
This record from Alexandria describes a relaxed PmZrPt3 crystal. The functional is GGA-PBE.

The formation energy is -1.024 eV per atom. As for the density: 13.003 g cm⁻³.

It has space group Cmcm (No. 63), with a = 3.654 Å, b = 27.408 Å, c = 4.190 Å, α = 90.00°, β = 90.00° and γ = 90.00°. Symmetry generates all atoms from Pm at (0.000, 0.076, 0.250), Zr at (0.000, 0.208, 0.750), Pt at (0.000, 0.307, 0.750), Pt at (0.000, 0.373, 0.250) and Pt at (0.000, 0.470, 0.250).